# 1
A relaxed La2ErGa2Cu2 crystal. Source: Alexandria, functional PBE-GGA.

POSCAR file:
```
La2ErGa2Cu2
1.0
4.4060 0.0000 0.0000
2.2030 3.8157 0.0000
2.2030 1.2719 9.3076
Cu Ga Er La
2 2 1 2
Cartesian
4.4061 2.5438 7.7506 Cu
4.4060 2.5438 1.5570 Cu
2.2030 1.2719 1.7016 Ga
6.6091 3.8158 7.6060 Ga
0.0000 0.0000 0.0000 Er
6.6091 3.8157 3.5113 La
2.2030 1.2719 5.7963 La
```

Summary:
Final energy ... -4.51 eV/atom
Total moment ... 0.00 Bohr magnetons per cell
DOS at the Fermi energy ... 5.50 states/eV per cell


# 2
A relaxed HoEr2Au6 crystal. Source: Alexandria, functional PBE-GGA.

POSCAR file:
```
HoEr2Au6
1.0
5.1955 0.0956 0.8229
2.3255 4.3558 1.7141
0.0077 -0.1834 8.4244
Au Ho Er
6 1 2
Cartesian
2.4720 1.3698 5.0450 Au
4.7145 0.6470 7.9806 Au
5.4824 2.2167 2.9499 Au
2.0462 2.0513 8.0115 Au
2.8141 3.6210 2.9808 Au
5.0566 2.8982 5.9164 Au
0.0038 -0.0917 4.2122 Ho
2.9836 0.7371 2.1207 Er
4.5450 3.5309 8.8407 Er
```

Summary:
Final energy ... -4.52 eV/atom
Total moment ... 0.00 Bohr magnetons per cell
DOS at the Fermi energy ... 4.45 states/eV per cell


# 3
A relaxed KYFe2 crystal. Source: Alexandria, functional PBE-GGA.

POSCAR file:
```
KYFe2
1.0
4.9157 0.0000 0.0000
0.0000 4.9157 0.0000
2.4579 2.4579 9.6613
Y Fe K
2 4 2
Cartesian
4.9157 2.4579 4.8306 Y
0.0000 0.0000 0.0000 Y
6.1447 2.4571 7.2459 Fe
4.9150 1.2289 2.4153 Fe
4.9165 3.6868 2.4153 Fe
3.6868 2.4586 7.2459 Fe
2.4579 4.9157 4.8306 K
2.4579 2.4579 0.0000 K
```

Summary:
Final energy ... -5.03 eV/atom
Total moment ... 8.66 Bohr magnetons per cell
DOS at the Fermi energy ... 14.24 states/eV per cell


# 4
A relaxed LiSb2TeCl crystal. Source: Alexandria, functional PBE-GGA.

POSCAR file:
```
LiSb2TeCl
1.0
-0.9413 3.0296 -4.0158
-1.5138 -4.0667 -2.7132
-4.6304 0.6649 1.5869
Cl Li Sb Te
1 1 2 1
Cartesian
-3.5428 -0.1861 -2.5710 Cl
0.0000 0.0000 0.0000 Li
-0.7569 -2.0334 -1.3566 Sb
-0.4706 1.5148 -2.0079 Sb
-2.3152 0.3325 0.7935 Te
```

Summary:
Formation energy (no corrections) ... 191 meV/atom
Total moment ... 0.00 Bohr magnetons per cell
DOS at the Fermi energy ... 4.42 states/eV per cell